## BeTlMoF6 (PBE with a Hubbard U)

Data for crystalline BeTlMoF6 at its relaxed geometry.

a = 5.238 Å, b = 5.230 Å, c = 6.129 Å
α = 89.96°, β = 89.97°, γ = 60.01°
Site moments in Bohr magnetons follow the coordinates.
Fractional coordinates of all 9 atoms:
Be  0.333  0.334  0.500  0.01
Tl  0.000  0.000  0.000  0.00
Mo  0.667  0.666  0.500  2.78
F  0.044  0.348  0.333  0.01
F  0.347  0.044  0.667  0.01
F  0.608  0.348  0.667  0.01
F  0.044  0.608  0.667  0.01
F  0.348  0.609  0.333  0.01
F  0.608  0.044  0.333  0.01

* mass density: 4.833 g cm⁻³
* E: -47.18 eV per cell
* SG: No. 5